No. 1
A relaxed structure of CrBiAs2. Source: the Alexandria database, functional PBE.

Cell lengths 7.5367, 7.5367, 7.5367 Å; angles 132.81, 132.81, 68.96 degrees
Atoms (fractional coordinates):
Cr  0.0000  0.0000  0.0000
Cr  0.7500  0.2500  0.5000
Bi  0.2500  0.7500  0.5000
Bi  0.5000  0.5000  0.0000
As  0.0623  0.6250  0.9373
As  0.3750  0.3123  0.4373
As  0.6877  0.1250  0.0627
As  0.8750  0.9377  0.5627

Calculated values
Calculated total energy (eV per atom): -5.524
ρ (g/cm3): 6.03
Energy of formation (meV per atom): 177.1

No. 2
A relaxed structure of CrBi2As2. Source: the Alexandria database, functional PBE.

Cell lengths 7.6710, 7.6710, 4.2055 Å; angles 90.00, 90.00, 90.00 degrees
Atoms (fractional coordinates):
Cr  0.0000  0.0000  0.0000
Cr  0.5000  0.5000  0.0000
Bi  0.1543  0.3457  0.0000
Bi  0.3457  0.8457  0.0000
Bi  0.6543  0.1543  0.0000
Bi  0.8457  0.6543  0.0000
As  0.1758  0.6758  0.5000
As  0.3242  0.1758  0.5000
As  0.6758  0.8242  0.5000
As  0.8242  0.3242  0.5000

Calculated values
Calculated total energy (eV per atom): -4.518
Distance to the lowest polymorph of the same formula (meV per atom): 722.2
ρ (g/cm3): 8.32
Energy of formation (meV per atom): 818.7

No. 3
A relaxed structure of CrBi2As2. Source: the Alexandria database, functional PBE.

Cell lengths 6.4742, 6.4742, 6.0821 Å; angles 90.00, 90.00, 90.00 degrees
Atoms (fractional coordinates):
Cr  0.0000  0.0000  0.0000
Cr  0.5000  0.5000  0.0000
Bi  0.1929  0.3071  0.5000
Bi  0.3071  0.8071  0.5000
Bi  0.6929  0.1929  0.5000
Bi  0.8071  0.6929  0.5000
As  0.1364  0.3636  0.0000
As  0.3636  0.8636  0.0000
As  0.6364  0.1364  0.0000
As  0.8636  0.6364  0.0000

Calculated values
Calculated total energy (eV per atom): -5.240
Distance to the lowest polymorph of the same formula (meV per atom): 0.0
ρ (g/cm3): 8.07
Energy of formation (meV per atom): 96.4

No. 4
A relaxed structure of CrCuBiAs2. Source: the Alexandria database, functional PBE.

Cell lengths 4.7280, 4.7280, 4.8844 Å; angles 90.00, 90.00, 90.00 degrees
Atoms (fractional coordinates):
Cr  0.0000  0.0000  0.0000
Cu  0.0000  0.0000  0.5000
Bi  0.5000  0.5000  0.0000
As  0.0000  0.5000  0.5000
As  0.5000  0.0000  0.5000

Calculated values
Calculated total energy (eV per atom): -4.794
ρ (g/cm3): 7.21
Energy of formation (meV per atom): 585.5

No. 5
A relaxed structure of CrFeBi2As. Source: the Alexandria database, functional PBE.

Cell lengths 5.0753, 5.0753, 4.5580 Å; angles 90.00, 90.00, 90.00 degrees
Atoms (fractional coordinates):
Cr  0.0000  0.0000  0.0000
Fe  0.0000  0.0000  0.5000
Bi  0.0000  0.5000  0.5000
Bi  0.5000  0.0000  0.5000
As  0.5000  0.5000  0.0000

Calculated values
Calculated total energy (eV per atom): -5.387
ρ (g/cm3): 8.50
Energy of formation (meV per atom): 712.3

No. 6
A relaxed structure of MgCr2BiAs. Source: the Alexandria database, functional PBE.

Cell lengths 4.5292, 4.5292, 5.5675 Å; angles 90.00, 90.00, 90.00 degrees
Atoms (fractional coordinates):
Mg  0.0000  0.0000  0.0000
Cr  0.0000  0.5000  0.5000
Cr  0.5000  0.0000  0.5000
Bi  0.5000  0.5000  0.0000
As  0.5000  0.5000  0.5000

Calculated values
Calculated total energy (eV per atom): -4.860
ρ (g/cm3): 5.99
Energy of formation (meV per atom): 1014.4

| no. | N(E_F) (states/eV per atom) |
| --- | --- |
| 1 | 0.317 |
| 2 | 1.240 |
| 3 | 0.446 |
| 4 | 0.700 |
| 5 | 0.864 |
| 6 | 1.763 |